Entry 1:
VASP calculation (PBE-GGA) on Tb2Al8Ir after structural relaxation.

Summary:
Space-group type: P4/mmm
Energy in eV per atom: -4.93
Mass density in g cm⁻³: 5.83

a = 4.2888 Å, b = 4.2888 Å, c = 11.2429 Å
α = 90.00°, β = 90.00°, γ = 90.00°
With the nearest neighbours (Å) after each atom.
Sites, in units of the cell vectors:
Tb 0.0000 0.0000 0.1909  12 Al 3.01-3.03
Tb 0.0000 0.0000 0.8091  12 Al 3.01-3.03
Al 0.0000 0.5000 0.0000  8 Al 3.03-3.05, 4 Tb 3.03
Al 0.0000 0.5000 0.3791  2 Ir 2.54, 1 Al 2.72
Al 0.0000 0.5000 0.6209  2 Ir 2.54, 1 Al 2.72
Al 0.5000 0.0000 0.0000  8 Al 3.03-3.05, 4 Tb 3.03
Al 0.5000 0.0000 0.3791  2 Ir 2.54, 1 Al 2.72
Al 0.5000 0.0000 0.6209  2 Ir 2.54, 1 Al 2.72
Al 0.5000 0.5000 0.1929  8 Al 3.00-3.05, 4 Tb 3.03
Al 0.5000 0.5000 0.8071  8 Al 3.00-3.05, 4 Tb 3.03
Ir 0.0000 0.0000 0.5000  8 Al 2.54

Entry 2:
VASP calculation (PBE-GGA) on TbTmAlIr2 after structural relaxation.

Summary:
Space-group type: Imm2
Energy in eV per atom: -7.06
Mass density in g cm⁻³: 12.17

a = 4.0891 Å, b = 5.8262 Å, c = 8.4706 Å
α = 90.00°, β = 90.00°, γ = 90.00°
With the nearest neighbours (Å) after each atom.
Sites, in units of the cell vectors:
Tb 0.0000 0.0000 0.0000  6 Ir 2.97-2.99, 2 Al 3.28
Tb 0.5000 0.5000 0.5000  6 Ir 2.97-2.99, 2 Al 3.28
Tm 0.0000 0.0000 0.6037  6 Ir 2.97-2.99, 2 Al 3.27
Tm 0.5000 0.5000 0.1037  6 Ir 2.97-2.99, 2 Al 3.27
Al 0.0000 0.5000 0.8022  4 Ir 2.54
Al 0.5000 0.0000 0.3022  4 Ir 2.54
Ir 0.0000 0.2598 0.3019  2 Al 2.54, 1 Ir 2.80
Ir 0.0000 0.7402 0.3019  2 Al 2.54, 1 Ir 2.80
Ir 0.5000 0.2402 0.8019  2 Al 2.54, 1 Ir 2.80
Ir 0.5000 0.7598 0.8019  2 Al 2.54, 1 Ir 2.80

Entry 3:
VASP calculation (PBE-GGA) on TbYAl4Ir2 after structural relaxation.

Summary:
Space-group type: Amm2
Energy in eV per atom: -6.32
Mass density in g cm⁻³: 7.98

a = 7.1649 Å, b = 4.1912 Å, c = 10.2560 Å
α = 90.00°, β = 90.00°, γ = 90.00°
With the nearest neighbours (Å) after each atom.
Sites, in units of the cell vectors:
Tb 0.0000 0.0000 0.0000  3 Ir 2.88-3.07, 6 Al 3.16-3.19
Tb 0.0000 0.5000 0.5000  3 Ir 2.88-3.07, 6 Al 3.16-3.19
Y 0.5000 0.0000 0.1319  3 Ir 2.88-3.07, 6 Al 3.16-3.19
Y 0.5000 0.5000 0.6319  3 Ir 2.88-3.07, 6 Al 3.16-3.19
Al 0.1950 0.0000 0.7205  3 Ir 2.56-2.59, 1 Al 2.79
Al 0.1950 0.5000 0.2205  3 Ir 2.56-2.59, 1 Al 2.79
Al 0.3057 0.0000 0.4114  3 Ir 2.57-2.59, 1 Al 2.78
Al 0.3057 0.5000 0.9114  3 Ir 2.57-2.59, 1 Al 2.78
Al 0.6943 0.0000 0.4114  3 Ir 2.57-2.59, 1 Al 2.78
Al 0.6943 0.5000 0.9114  3 Ir 2.57-2.59, 1 Al 2.78
Al 0.8050 0.0000 0.7205  3 Ir 2.56-2.59, 1 Al 2.79
Al 0.8050 0.5000 0.2205  3 Ir 2.56-2.59, 1 Al 2.79
Ir 0.0000 0.0000 0.2809  6 Al 2.57-2.59
Ir 0.0000 0.5000 0.7809  6 Al 2.57-2.59
Ir 0.5000 0.0000 0.8512  6 Al 2.56-2.59
Ir 0.5000 0.5000 0.3512  6 Al 2.56-2.59

Entry 4:
VASP calculation (PBE-GGA) on TbYAl2Ir4 after structural relaxation.

Summary:
Space-group type: P-6m2
Energy in eV per atom: -7.44
Mass density in g cm⁻³: 12.07

a = 4.2993 Å, b = 4.2993 Å, c = 9.1992 Å
α = 90.00°, β = 90.00°, γ = 120.00°
With the nearest neighbours (Å) after each atom.
Sites, in units of the cell vectors:
Tb 0.0000 0.0000 0.0000  8 Ir 2.92-3.05
Y 0.6667 0.3333 0.5000  8 Ir 2.92-3.06
Al 0.3333 0.6667 0.2502  6 Ir 2.59-2.60
Al 0.3333 0.6667 0.7498  6 Ir 2.59-2.60
Ir 0.0000 0.0000 0.3319  3 Al 2.59
Ir 0.0000 0.0000 0.6681  3 Al 2.59
Ir 0.6667 0.3333 0.1679  3 Al 2.60, 3 Ir 2.90
Ir 0.6667 0.3333 0.8321  3 Al 2.60, 3 Ir 2.90

Q: The highest energy belongs to which entry?
A: Tb2Al8Ir